# GGA-PBEsol NbZnSiTe2, optimized geometry
data_NbZnSiTe2
_chemical_formula_sum 'Nb1 Zn1 Si1 Te2'
_space_group_name_H-M_alt 'P 4/m m m'
_space_group_IT_number 123
_space_group_name_Hall '-P 4 2'
_cell_length_a 5.294
_cell_length_b 5.294
_cell_length_c 4.945
_cell_angle_alpha 90.00
_cell_angle_beta 90.00
_cell_angle_gamma 90.00
loop_
_atom_site_label
_atom_site_type_symbol
_atom_site_fract_x
_atom_site_fract_y
_atom_site_fract_z
_atom_site_occupancy
Nb1 Nb 0.000 0.000 0.000 1
Zn1 Zn 0.000 0.000 0.500 1
Si1 Si 0.500 0.500 0.500 1
Te1 Te 0.000 0.500 0.000 1
# **Formation energy from raw total energies**: 0.78 eV/atom

# GGA-PBEsol Sb2PtPb, optimized geometry
data_Sb2PtPb
_chemical_formula_sum 'Sb8 Pt4 Pb4'
_space_group_name_H-M_alt 'I -4 2 d'
_space_group_IT_number 122
_space_group_name_Hall 'I -4 2bw'
_cell_length_a 6.303
_cell_length_b 6.303
_cell_length_c 12.840
_cell_angle_alpha 90.00
_cell_angle_beta 90.00
_cell_angle_gamma 90.00
loop_
_atom_site_label
_atom_site_type_symbol
_atom_site_fract_x
_atom_site_fract_y
_atom_site_fract_z
_atom_site_occupancy
Sb1 Sb 0.193 0.250 0.125 1
Pt1 Pt 0.000 0.000 0.000 1
Pb1 Pb 0.000 0.000 0.500 1
# **Formation energy from raw total energies**: 0.02 eV/atom

# GGA-PBEsol Ba2ZrSc, optimized geometry
data_Ba2ZrSc
_chemical_formula_sum 'Ba4 Zr2 Sc2'
_space_group_name_H-M_alt 'I 4/m m m'
_space_group_IT_number 139
_space_group_name_Hall '-I 4 2'
_cell_length_a 5.008
_cell_length_b 5.008
_cell_length_c 10.481
_cell_angle_alpha 90.00
_cell_angle_beta 90.00
_cell_angle_gamma 90.00
loop_
_atom_site_label
_atom_site_type_symbol
_atom_site_fract_x
_atom_site_fract_y
_atom_site_fract_z
_atom_site_occupancy
Ba1 Ba 0.000 0.500 0.250 1
Zr1 Zr 0.000 0.000 0.000 1
Sc1 Sc 0.000 0.000 0.500 1
# **ΔE_f**: 0.62 eV per atom
# **Distance to the lowest polymorph of the same formula**: 8 meV/atom

# GGA-PBEsol Ge2WBr, optimized geometry
data_Ge2WBr
_chemical_formula_sum 'Ge8 W4 Br4'
_space_group_name_H-M_alt 'F m -3 m'
_space_group_IT_number 225
_space_group_name_Hall '-F 4 2 3'
_cell_length_a 6.550
_cell_length_b 6.550
_cell_length_c 6.550
_cell_angle_alpha 90.00
_cell_angle_beta 90.00
_cell_angle_gamma 90.00
loop_
_atom_site_label
_atom_site_type_symbol
_atom_site_fract_x
_atom_site_fract_y
_atom_site_fract_z
_atom_site_occupancy
Ge1 Ge 0.250 0.250 0.250 1
W1 W 0.000 0.000 0.000 1
Br1 Br 0.000 0.000 0.500 1
# **Formation energy from raw total energies**: 1.07 eV/atom

# GGA-PBEsol AlMo2W, optimized geometry
data_AlMo2W
_chemical_formula_sum 'Al2 Mo4 W2'
_space_group_name_H-M_alt 'I m m 2'
_space_group_IT_number 44
_cell_length_a 3.148
_cell_length_b 4.384
_cell_length_c 8.788
_cell_angle_alpha 90.00
_cell_angle_beta 90.00
_cell_angle_gamma 90.00
loop_
_space_group_symop_operation_xyz
'x,y,z'
'-x,-y,z'
'-x,y,z'
'x,-y,z'
'x+1/2,y+1/2,z+1/2'
'-x+1/2,-y+1/2,z+1/2'
'-x+1/2,y+1/2,z+1/2'
'x+1/2,-y+1/2,z+1/2'
loop_
_atom_site_label
_atom_site_type_symbol
_atom_site_fract_x
_atom_site_fract_y
_atom_site_fract_z
_atom_site_occupancy
Al1 Al 0.000 0.000 0.000 1
Mo1 Mo 0.000 0.000 0.501 1
Mo2 Mo 0.000 0.500 0.241 1
W1 W 0.000 0.500 0.761 1
# **ΔE_f**: -0.05 eV per atom

# GGA-PBEsol Cr2ReSe, optimized geometry
data_Cr2ReSe
_chemical_formula_sum 'Cr6 Re3 Se3'
_space_group_name_H-M_alt 'R -3 m'
_space_group_IT_number 166
_space_group_name_Hall '-R 3 2"'
_cell_length_a 2.7890
_cell_length_b 2.7890
_cell_length_c 23.6445
_cell_angle_alpha 90.00
_cell_angle_beta 90.00
_cell_angle_gamma 120.00
loop_
_atom_site_label
_atom_site_type_symbol
_atom_site_fract_x
_atom_site_fract_y
_atom_site_fract_z
_atom_site_occupancy
Cr1 Cr 0.0000 0.0000 0.2472 1
Re1 Re 0.0000 0.0000 0.0000 1
Se1 Se 0.0000 0.0000 0.5000 1
# **Distance to the lowest polymorph of the same formula**: 136 meV/atom
# **Formation energy from raw total energies**: 0.29 eV/atom

no.,total moment (μB per formula unit),DOS(E_F) (states/eV per atom),E_tot (eV per atom)
1,0.1,1.037,-4.261
2,0.0,0.447,-4.999
3,0.0,1.801,-4.377
4,0.0,0.996,-5.323
5,0.0,0.744,-10.413
6,0.0,1.390,-9.125